Entry one
## PaSnRu2 (GGA-PBE)

Data for a geometry-optimized PaSnRu2 structure.

Unit cell a=4.744 b=4.744 c=4.744 alpha=60.00 beta=60.00 gamma=60.00
Sites, in units of the cell vectors:
Pa1 0.000 0.000 0.000
Sn1 0.500 0.500 0.500
Ru1 0.250 0.250 0.250
Ru2 0.750 0.750 0.750

=====

Entry two
## PaSnRu2 (GGA-PBE)

Data for a geometry-optimized PaSnRu2 structure.

Unit cell a=7.866 b=7.866 c=7.866 alpha=25.65 beta=25.65 gamma=25.65
Sites, in units of the cell vectors:
Pa1 0.000 0.000 0.000
Sn1 0.500 0.500 0.500
Ru1 0.258 0.258 0.258
Ru2 0.742 0.742 0.742

=====

Entry three
## PaSnRu2 (GGA-PBE)

Data for a geometry-optimized PaSnRu2 structure.

Unit cell a=4.482 b=4.482 c=3.700 alpha=90.00 beta=90.00 gamma=90.00
Sites, in units of the cell vectors:
Pa1 0.000 0.000 0.000
Sn1 0.500 0.500 0.000
Ru1 0.000 0.500 0.500
Ru2 0.500 0.000 0.500

=====

Least stable structure among those shown: entry two.